VASP calculation (GGA-PBE) on NaSrPuCl6 after structural relaxation.

Cell lengths 7.1232, 7.1232, 12.5996 Å; angles 90.00, 90.00, 120.00 degrees
Space group P-31c (No. 163)
One atom of each set of equivalent atoms:
Na (0.3333, 0.6667, 0.2500) [2 per cell]
Sr (0.0000, 0.0000, 0.0000) [2 per cell]
Pu (0.3333, 0.6667, 0.7500) [2 per cell]
Cl (0.0112, 0.3482, 0.6306) [12 per cell]



VASP calculation (GGA-PBE) on NaTbPuCl6 after structural relaxation.

Cell lengths 7.0339, 7.0339, 12.5808 Å; angles 90.00, 90.00, 120.00 degrees
Space group P-31c (No. 163)
One atom of each set of equivalent atoms:
Na (0.0000, 0.0000, 0.0000) [2 per cell]
Tb (0.3333, 0.6667, 0.2500) [2 per cell]
Pu (0.3333, 0.6667, 0.7500) [2 per cell]
Cl (0.0166, 0.3536, 0.1295) [12 per cell]



VASP calculation (GGA-PBE) on NaPuTlCl6 after structural relaxation.

Cell lengths 7.1617, 7.1617, 13.6540 Å; angles 90.00, 90.00, 120.00 degrees
Space group P-31c (No. 163)
One atom of each set of equivalent atoms:
Na (0.3333, 0.6667, 0.2500) [2 per cell]
Pu (0.3333, 0.6667, 0.7500) [2 per cell]
Tl (0.0000, 0.0000, 0.0000) [2 per cell]
Cl (0.0258, 0.3771, 0.6407) [12 per cell]



VASP calculation (GGA-PBE) on Na2PuTlCl6 after structural relaxation.

Cell lengths 7.2598, 7.2598, 19.9894 Å; angles 90.00, 90.00, 120.00 degrees
Space group R3 (No. 146, hexagonal axes)
One atom of each set of equivalent atoms:
Na (0.0000, 0.0000, 0.0000) [3 per cell]
Na (0.0000, 0.0000, 0.4866) [3 per cell]
Pu (0.0000, 0.0000, 0.6828) [3 per cell]
Tl (0.0000, 0.0000, 0.2009) [3 per cell]
Cl (0.0022, 0.3455, 0.4183) [9 per cell]
Cl (0.0265, 0.6127, 0.2593) [9 per cell]



VASP calculation (GGA-PBE) on NaTmPuCl6 after structural relaxation.

Cell lengths 6.9371, 6.9371, 12.4349 Å; angles 90.00, 90.00, 120.00 degrees
Space group P-31c (No. 163)
One atom of each set of equivalent atoms:
Na (0.3333, 0.6667, 0.2500) [2 per cell]
Tm (0.3333, 0.6667, 0.7500) [2 per cell]
Pu (0.0000, 0.0000, 0.0000) [2 per cell]
Cl (0.0222, 0.3550, 0.6301) [12 per cell]



VASP calculation (GGA-PBE) on NaPuUCl6 after structural relaxation.

Cell lengths 7.1398, 7.1398, 12.5980 Å; angles 90.00, 90.00, 120.00 degrees
Space group P-31c (No. 163)
One atom of each set of equivalent atoms:
Na (0.0000, 0.0000, 0.0000) [2 per cell]
Pu (0.3333, 0.6667, 0.2500) [2 per cell]
U (0.3333, 0.6667, 0.7500) [2 per cell]
Cl (0.0075, 0.3459, 0.6283) [12 per cell]



VASP calculation (GGA-PBE) on Na2PuUCl8 after structural relaxation.

Cell lengths 6.524, 8.480, 6.659 Å; angles 90.00, 93.30, 90.00 degrees
Space group P2/m (No. 10)
One atom of each set of equivalent atoms:
Na (0.000, 0.246, 0.000) [2 per cell]
Pu (0.500, 0.000, 0.500) [1 per cell]
U (0.500, 0.500, 0.500) [1 per cell]
Cl (0.218, 0.000, 0.185) [2 per cell]
Cl (0.222, 0.500, 0.187) [2 per cell]
Cl (0.294, 0.257, 0.669) [4 per cell]



VASP calculation (GGA-PBE) on NaPuVCl6 after structural relaxation.

Cell lengths 6.6431, 6.6431, 12.6372 Å; angles 90.00, 90.00, 120.00 degrees
Space group P-31c (No. 163)
One atom of each set of equivalent atoms:
Na (0.0000, 0.0000, 0.0000) [2 per cell]
Pu (0.3333, 0.6667, 0.2500) [2 per cell]
V (0.3333, 0.6667, 0.7500) [2 per cell]
Cl (0.0326, 0.3684, 0.6336) [12 per cell]



VASP calculation (GGA-PBE) on NaYPuCl6 after structural relaxation.

Cell lengths 6.9749, 6.9749, 12.4612 Å; angles 90.00, 90.00, 120.00 degrees
Space group P-31c (No. 163)
One atom of each set of equivalent atoms:
Na (0.3333, 0.6667, 0.2500) [2 per cell]
Y (0.3333, 0.6667, 0.7500) [2 per cell]
Pu (0.0000, 0.0000, 0.0000) [2 per cell]
Cl (0.0174, 0.3499, 0.6290) [12 per cell]



VASP calculation (GGA-PBE) on NaPuZnCl6 after structural relaxation.

Cell lengths 6.7562, 6.7562, 12.4117 Å; angles 90.00, 90.00, 120.00 degrees
Space group P-31c (No. 163)
One atom of each set of equivalent atoms:
Na (0.0000, 0.0000, 0.0000) [2 per cell]
Pu (0.3333, 0.6667, 0.2500) [2 per cell]
Zn (0.3333, 0.6667, 0.7500) [2 per cell]
Cl (0.0263, 0.3679, 0.6341) [12 per cell]



VASP calculation (GGA-PBE) on RbNaCl2 after structural relaxation.

Cell lengths 7.736, 7.736, 9.017 Å; angles 90.00, 90.00, 90.00 degrees
Space group I-42d (No. 122)
One atom of each set of equivalent atoms:
Rb (0.000, 0.000, 0.000) [4 per cell]
Na (0.000, 0.000, 0.500) [4 per cell]
Cl (0.195, 0.250, 0.625) [8 per cell]



VASP calculation (GGA-PBE) on Rb2Na2Cl after structural relaxation.

Cell lengths 8.209, 8.209, 7.305 Å; angles 90.00, 90.00, 90.00 degrees
Space group P4/mbm (No. 127)
One atom of each set of equivalent atoms:
Rb (0.184, 0.316, 0.000) [4 per cell]
Na (0.161, 0.661, 0.500) [4 per cell]
Cl (0.000, 0.000, 0.500) [2 per cell]



no.,ΔE_f (raw) (kJ/mol of atoms),raw total energy (eV per atom)
1,-199,-5.220
2,-193,-5.481
3,-154,-4.829
4,-163,-4.730
5,-191,-5.443
6,-165,-5.929
7,-174,-5.392
8,-158,-5.620
9,-191,-5.667
10,-153,-4.696
11,-174,-3.297
12,-46,-1.760